# Tl2VF6

A relaxed Tl2VF6 crystal (PBE+U, Alexandria via LeMat-Bulk).

Summary:
Its total energy is -4.99 eV per atom.

Cell lengths 6.0899, 7.4860, 8.0023 Å; angles 90.00, 90.00, 110.36 degrees
Fractional positions:
1 Tl 0.1385 0.3196 0.5614
2 Tl 0.3615 0.1804 0.0614
3 Tl 0.6385 0.8196 0.9386
4 Tl 0.8615 0.6804 0.4386
5 V 0.5000 0.0000 0.5000
6 V 0.0000 0.5000 0.0000
7 F 0.1620 0.7658 0.0276
8 F 0.1200 0.4494 0.1991
9 F 0.2352 0.0248 0.3847
10 F 0.2648 0.4752 0.8847
11 F 0.3800 0.0506 0.6991
12 F 0.3380 0.7342 0.5276
13 F 0.8380 0.2342 0.9724
14 F 0.8800 0.5506 0.8009
15 F 0.7648 0.9752 0.6153
16 F 0.7352 0.5248 0.1153
17 F 0.6200 0.9494 0.3009
18 F 0.6620 0.2658 0.4724